First-principles (GGA-PBE) data for an optimized crystal structure of SiPtRh, as listed in the Alexandria database.

Unit cell a=4.1563 b=4.1563 c=4.1563 alpha=60.00 beta=60.00 gamma=60.00
Closest atoms and distances in Å follow each position.
Sites, in units of the cell vectors:
Pt: 0.5000 0.5000 0.5000  4 Rh 2.55
Rh: 0.7500 0.7500 0.7500  4 Si 2.55, 4 Pt 2.55
Si: 0.0000 0.0000 0.0000  4 Rh 2.55

Calculated values
- volume (Å³/atom) = 16.924
- energy (eV/atom) = -6.36
- density of states at the Fermi level (states/eV/cell) = 2.09
- spin magnetization (μB/cell) = 0.0
- space group = F-43m, No. 216